1.
# Ta4AlInC2 (PBE, optimized geometry)
# Total DFT energy (no corrections), hartree per atom: -0.3488
data_Ta4AlInC2
_chemical_formula_sum 'Ta4 Al1 In1 C2'
_cell_length_a 3.129
_cell_length_b 3.129
_cell_length_c 14.251
_cell_angle_alpha 90.00
_cell_angle_beta 90.00
_cell_angle_gamma 120.00
_symmetry_space_group_name_H-M 'P 1'
_symmetry_Int_Tables_number 1
_symmetry_space_group_name_Hall 'P 1'
loop_
_atom_site_label
_atom_site_fract_x
_atom_site_fract_y
_atom_site_fract_z
Ta1 0.000 0.000 0.156
Ta2 0.000 0.000 0.844
Ta3 0.667 0.333 0.329
Ta4 0.667 0.333 0.671
Al1 0.667 0.333 0.000
In1 0.000 0.000 0.500
C1 0.333 0.667 0.243
C2 0.333 0.667 0.757

2.
# AlInW4C2 (PBE, optimized geometry)
# Total DFT energy (no corrections), hartree per atom: -0.3473
data_AlInW4C2
_chemical_formula_sum 'Al1 In1 W4 C2'
_cell_length_a 3.070
_cell_length_b 3.070
_cell_length_c 13.850
_cell_angle_alpha 90.00
_cell_angle_beta 90.00
_cell_angle_gamma 120.00
_symmetry_space_group_name_H-M 'P 1'
_symmetry_Int_Tables_number 1
_symmetry_space_group_name_Hall 'P 1'
loop_
_atom_site_label
_atom_site_fract_x
_atom_site_fract_y
_atom_site_fract_z
Al1 0.000 0.000 0.000
In1 0.333 0.667 0.500
W1 0.000 0.000 0.326
W2 0.000 0.000 0.674
W3 0.333 0.667 0.155
W4 0.333 0.667 0.845
C1 0.667 0.333 0.241
C2 0.667 0.333 0.759

3.
# AlIrCO (PBE, optimized geometry)
# Total DFT energy (no corrections), hartree per atom: -0.2513
data_AlIrCO
_chemical_formula_sum 'Al2 Ir2 C2 O2'
_cell_length_a 9.732
_cell_length_b 9.732
_cell_length_c 9.732
_cell_angle_alpha 19.27
_cell_angle_beta 19.27
_cell_angle_gamma 19.27
_symmetry_space_group_name_H-M 'P 1'
_symmetry_Int_Tables_number 1
_symmetry_space_group_name_Hall 'P 1'
loop_
_atom_site_label
_atom_site_fract_x
_atom_site_fract_y
_atom_site_fract_z
Al1 0.235 0.235 0.235
Al2 0.765 0.765 0.765
Ir1 0.000 0.000 0.000
Ir2 0.500 0.500 0.500
C1 0.123 0.123 0.123
C2 0.877 0.877 0.877
O1 0.300 0.300 0.300
O2 0.700 0.700 0.700

4.
# Lu3AlC (PBE, optimized geometry)
# Total DFT energy (no corrections), hartree per atom: -0.2127
data_Lu3AlC
_chemical_formula_sum 'Lu3 Al1 C1'
_cell_length_a 4.742
_cell_length_b 4.742
_cell_length_c 4.742
_cell_angle_alpha 90.00
_cell_angle_beta 90.00
_cell_angle_gamma 90.00
_symmetry_space_group_name_H-M 'P 1'
_symmetry_Int_Tables_number 1
_symmetry_space_group_name_Hall 'P 1'
loop_
_atom_site_label
_atom_site_fract_x
_atom_site_fract_y
_atom_site_fract_z
Lu1 0.000 0.000 0.500
Lu2 0.000 0.500 0.000
Lu3 0.500 0.000 0.000
Al1 0.500 0.500 0.500
C1 0.000 0.000 0.000

5.
# Lu4Al2CN (PBE, optimized geometry)
# Total DFT energy (no corrections), hartree per atom: -0.2226
data_Lu4Al2CN
_chemical_formula_sum 'Lu4 Al2 C1 N1'
_cell_length_a 3.429
_cell_length_b 3.429
_cell_length_c 15.200
_cell_angle_alpha 90.00
_cell_angle_beta 90.00
_cell_angle_gamma 120.00
_symmetry_space_group_name_H-M 'P 1'
_symmetry_Int_Tables_number 1
_symmetry_space_group_name_Hall 'P 1'
loop_
_atom_site_label
_atom_site_fract_x
_atom_site_fract_y
_atom_site_fract_z
Lu1 0.333 0.667 0.087
Lu2 0.333 0.667 0.413
Lu3 0.667 0.333 0.587
Lu4 0.667 0.333 0.913
Al1 0.333 0.667 0.747
Al2 0.667 0.333 0.253
C1 0.000 0.000 0.000
N1 0.000 0.000 0.500

6.
# Lu3AlCN (PBE, optimized geometry)
# Total DFT energy (no corrections), hartree per atom: -0.2425
data_Lu3AlCN
_chemical_formula_sum 'Lu6 Al2 C2 N2'
_cell_length_a 3.408
_cell_length_b 3.408
_cell_length_c 21.038
_cell_angle_alpha 90.00
_cell_angle_beta 90.00
_cell_angle_gamma 120.00
_symmetry_space_group_name_H-M 'P 1'
_symmetry_Int_Tables_number 1
_symmetry_space_group_name_Hall 'P 1'
loop_
_atom_site_label
_atom_site_fract_x
_atom_site_fract_y
_atom_site_fract_z
Lu1 0.000 0.000 0.000
Lu2 0.000 0.000 0.500
Lu3 0.333 0.667 0.127
Lu4 0.333 0.667 0.369
Lu5 0.667 0.333 0.631
Lu6 0.667 0.333 0.873
Al1 0.000 0.000 0.244
Al2 0.000 0.000 0.756
C1 0.333 0.667 0.572
C2 0.667 0.333 0.428
N1 0.333 0.667 0.934
N2 0.667 0.333 0.066

Q: Among the records above, which one has the highest total DFT energy (no corrections)?
A: Lu3AlC

Q: Which of these has the highest total DFT energy (no corrections)?
A: Lu3AlC

Q: Which value of total DFT energy (no corrections) does entry 2 give?
A: -0.3473 hartree per atom